## Ac3NdSm12 (PBE-GGA)

Data for Ac3NdSm12 after structural relaxation.

As for the spin magnetization: 0.00 μB per atom. The formation energy is 0.49 eV per formula unit.

It has space group P4/mmm (No. 123), with a = 5.228 Å, b = 5.228 Å, c = 20.899 Å, α = 90.00°, β = 90.00° and γ = 90.00°. Symmetry generates all atoms from Ac at (0.000, 0.000, 0.000), Ac at (0.000, 0.000, 0.252), Nd at (0.000, 0.000, 0.500), Sm at (0.000, 0.500, 0.126), Sm at (0.000, 0.500, 0.379), Sm at (0.500, 0.500, 0.000), Sm at (0.500, 0.500, 0.253) and Sm at (0.500, 0.500, 0.500).

## AcNd4Sm15 (PBE-GGA)

Data for AcNd4Sm15 after structural relaxation.

As for the spin magnetization: 0.00 μB per atom. The formation energy is 0.40 eV per formula unit.

It has space group P4/mmm (No. 123), with a = 5.175 Å, b = 5.175 Å, c = 25.826 Å, α = 90.00°, β = 90.00° and γ = 90.00°. Symmetry generates all atoms from Ac at (0.000, 0.000, 0.000), Nd at (0.000, 0.000, 0.202), Nd at (0.000, 0.000, 0.401), Sm at (0.000, 0.500, 0.103), Sm at (0.000, 0.500, 0.302), Sm at (0.000, 0.500, 0.500), Sm at (0.500, 0.500, 0.000), Sm at (0.500, 0.500, 0.203) and Sm at (0.500, 0.500, 0.401).

## Ac3NdSm4 (PBE-GGA)

Data for Ac3NdSm4 after structural relaxation.

As for the spin magnetization: 0.00 μB per atom. The formation energy is 1.09 eV per formula unit.

It has space group Immm (No. 71), with a = 3.695 Å, b = 12.258 Å, c = 13.570 Å, α = 90.00°, β = 90.00° and γ = 90.00°. Symmetry generates all atoms from Ac at (0.000, 0.000, 0.000), Ac at (0.000, 0.500, 0.237), Nd at (0.000, 0.000, 0.500) and Sm at (0.000, 0.246, 0.366).

## Ac8Nd3Sm (PBE-GGA)

Data for Ac8Nd3Sm after structural relaxation.

As for the spin magnetization: 0.00 μB per atom. The formation energy is 6.95 eV per formula unit.

It has space group I-42m (No. 121), with a = 9.345 Å, b = 9.345 Å, c = 12.871 Å, α = 90.00°, β = 90.00° and γ = 90.00°. Symmetry generates all atoms from Ac at (0.131, 0.131, 0.253), Ac at (0.248, 0.248, 0.505), Nd at (0.000, 0.000, 0.000), Nd at (0.000, 0.500, 0.250) and Sm at (0.000, 0.000, 0.500).

## AcNd7Sm2 (PBE-GGA)

Data for AcNd7Sm2 after structural relaxation.

As for the spin magnetization: 0.00 μB per atom. The formation energy is 6.00 eV per formula unit.

It has space group Cmmm (No. 65), with a = 9.006 Å, b = 16.339 Å, c = 5.799 Å, α = 90.00°, β = 90.00° and γ = 90.00°. Symmetry generates all atoms from Ac at (0.000, 0.000, 0.000), Nd at (0.000, 0.235, 0.000), Nd at (0.000, 0.500, 0.500), Nd at (0.181, 0.118, 0.500) and Sm at (0.000, 0.298, 0.500).

## Ac10Nd4Sm (PBE-GGA)

Data for Ac10Nd4Sm after structural relaxation.

As for the spin magnetization: 0.00 μB per atom. The formation energy is 8.75 eV per formula unit.

It has space group I4/m (No. 87), with a = 13.175 Å, b = 13.175 Å, c = 8.308 Å, α = 90.00°, β = 90.00° and γ = 90.00°. Symmetry generates all atoms from Ac at (0.000, 0.500, 0.250), Ac at (0.100, 0.200, 0.249), Nd at (0.100, 0.700, 0.500) and Sm at (0.000, 0.000, 0.000).

## Ac2NdSm8 (PBE-GGA)

Data for Ac2NdSm8 after structural relaxation.

As for the spin magnetization: 0.00 μB per atom. The formation energy is 2.08 eV per formula unit.

It has space group C2/m (No. 12), with a = 19.956 Å, b = 7.154 Å, c = 5.732 Å, α = 90.00°, β = 93.11° and γ = 90.00°. Symmetry generates all atoms from Ac at (0.218, 0.000, 0.257), Nd at (0.000, 0.500, 0.000), Sm at (0.044, 0.000, 0.236), Sm at (0.124, 0.234, 0.733) and Sm at (0.177, 0.500, 0.226).

## Ac2Nd9Sm (PBE-GGA)

Data for Ac2Nd9Sm after structural relaxation.

As for the spin magnetization: 0.00 μB per atom. The formation energy is 1.37 eV per formula unit.

It has space group P4/mmm (No. 123), with a = 6.184 Å, b = 6.184 Å, c = 11.486 Å, α = 90.00°, β = 90.00° and γ = 90.00°. Symmetry generates all atoms from Ac at (0.000, 0.000, 0.170), Nd at (0.000, 0.500, 0.000), Nd at (0.000, 0.500, 0.341), Nd at (0.500, 0.500, 0.164), Nd at (0.500, 0.500, 0.500) and Sm at (0.000, 0.000, 0.500).